1.
Pa2Ni3Ge4 | Alexandria via LeMat-Bulk | PBE | relaxed; ΔH_f (0 K) = -48.8 kJ/mol of atoms; V = 16.604 Å³/atom
1.0
2.858 -7.089 0.000
2.858 7.089 0.000
0.000 0.000 7.376
Pa Ni Ge
4 6 8
Direct
0.115 0.885 0.912 Pa
0.385 0.615 0.412 Pa
0.615 0.385 0.588 Pa
0.885 0.115 0.088 Pa
0.000 0.000 0.500 Ni
0.025 0.475 0.750 Ni
0.475 0.025 0.250 Ni
0.500 0.500 0.000 Ni
0.525 0.975 0.750 Ni
0.975 0.525 0.250 Ni
0.179 0.821 0.525 Ge
0.197 0.303 0.750 Ge
0.303 0.197 0.250 Ge
0.321 0.679 0.025 Ge
0.679 0.321 0.975 Ge
0.697 0.803 0.750 Ge
0.803 0.697 0.250 Ge
0.821 0.179 0.475 Ge


2.
NdSmHoHg | Alexandria via LeMat-Bulk | PBE | relaxed; ΔH_f (0 K) = -22.3 kJ/mol of atoms; V = 30.143 Å³/atom; ΔE to the lowest computed polymorph = 0.0000 eV per atom
1.0
3.679 0.000 0.000
0.000 3.679 0.000
0.000 0.000 8.909
Nd Sm Ho Hg
1 1 1 1
Direct
0.000 0.000 0.000 Nd
0.500 0.500 0.714 Sm
0.500 0.500 0.279 Ho
0.000 0.000 0.484 Hg


3.
Li2As | Alexandria via LeMat-Bulk | PBE | relaxed; ΔH_f (0 K) = -60.0 kJ/mol of atoms; V = 15.755 Å³/atom; ΔE to the lowest computed polymorph = 0.0098 eV per atom
1.0
3.055 0.000 0.000
0.000 4.200 0.000
0.000 0.000 7.369
Li As
4 2
Direct
0.250 0.250 0.041 Li
0.250 0.750 0.613 Li
0.750 0.250 0.387 Li
0.750 0.750 0.959 Li
0.250 0.750 0.253 As
0.750 0.250 0.747 As


Computed values of raw total energy (unit: eV per formula unit) for the preceding records, in sequence: -59.4; -15.3; -10.3.